DFT (PBE+U) results for an optimized crystal structure of LiFeBO3.

Calculated values
**Total magnetic moment**: 16.0 Bohr magnetons per cell
**E_tot**: -0.2521 Ha/atom
**Space group**: P2_1/c

Lattice parameters (Å, degrees): 5.537 8.192 6.850 90.00 114.89 90.00
Sites, in units of the cell vectors:
Li (0.153, 0.054, 0.400)
Li (0.153, 0.446, 0.900)
Li (0.847, 0.554, 0.100)
Li (0.847, 0.946, 0.600)
Fe (0.391, 0.732, 0.257)
Fe (0.391, 0.768, 0.757)
Fe (0.609, 0.232, 0.243)
Fe (0.609, 0.268, 0.743)
B (0.183, 0.132, 0.801)
B (0.183, 0.368, 0.301)
B (0.817, 0.632, 0.699)
B (0.817, 0.868, 0.199)
O (0.074, 0.643, 0.721)
O (0.074, 0.857, 0.221)
O (0.254, 0.004, 0.704)
O (0.254, 0.496, 0.204)
O (0.370, 0.244, 0.405)
O (0.370, 0.256, 0.905)
O (0.630, 0.744, 0.095)
O (0.630, 0.756, 0.595)
O (0.746, 0.504, 0.796)
O (0.746, 0.996, 0.296)
O (0.926, 0.143, 0.779)
O (0.926, 0.357, 0.279)